This record from Alexandria via LeMat-Bulk describes an optimized crystal structure of Tl4SiSe4. The functional is PBE.

Cell and atoms, written as POSCAR:
```
Tl4SiSe4
1.0
9.325 0.000 0.000
0.000 9.325 0.000
0.000 0.000 6.691
Tl Si Se
8 2 8
Cartesian
0.242 2.331 0.520
2.331 0.242 3.865
2.331 4.421 3.865
4.421 2.331 0.520
4.904 6.994 6.171
6.994 4.904 2.826
6.994 9.083 2.826
9.083 6.994 6.171
2.331 6.994 1.673
6.994 2.331 5.018
0.442 6.994 2.987
2.331 5.104 0.359
2.331 8.884 0.359
4.221 6.994 2.987
5.104 2.331 3.704
6.994 0.442 6.332
6.994 4.221 6.332
8.884 2.331 3.704
```

Calculated values
M_tot = 0.000 μB per cell
Distance to the lowest polymorph of the same formula = 10.9 meV per atom
Formation energy from raw total energies = -0.455 eV/atom